# PBE GdHfZnPd, optimized geometry
data_GdHfZnPd
_cell_length_a 4.872
_cell_length_b 4.872
_cell_length_c 4.872
_cell_angle_alpha 60.00
_cell_angle_beta 60.00
_cell_angle_gamma 60.00
_space_group_name_H-M_alt 'P 1'
_space_group_IT_number 1
_space_group_name_Hall 'P 1'
loop_
_atom_site_label
_atom_site_type_symbol
_atom_site_fract_x
_atom_site_fract_y
_atom_site_fract_z
Gd1 Gd 0.000 0.000 0.000
Hf1 Hf 0.500 0.500 0.500
Zn1 Zn 0.250 0.250 0.250
Pd1 Pd 0.750 0.750 0.750
# E_tot = -0.2937 hartree per atom
# space-group type = No. 216
# formation enthalpy at 0 K = -0.37 eV/atom
# total moment = 7.655 Bohr magnetons per cell
# crystal system = cubic

---

# PBE CaBeSn, optimized geometry
data_CaBeSn
_cell_length_a 6.036
_cell_length_b 6.036
_cell_length_c 7.210
_cell_angle_alpha 125.62
_cell_angle_beta 125.62
_cell_angle_gamma 39.96
_space_group_name_H-M_alt 'P 1'
_space_group_IT_number 1
_space_group_name_Hall 'P 1'
loop_
_atom_site_label
_atom_site_type_symbol
_atom_site_fract_x
_atom_site_fract_y
_atom_site_fract_z
Ca1 Ca 0.062 0.062 0.314
Ca2 Ca 0.938 0.938 0.686
Be1 Be 0.381 0.381 0.938
Be2 Be 0.619 0.619 0.062
Sn1 Sn 0.296 0.296 0.208
Sn2 Sn 0.704 0.704 0.792
# E_tot = -0.1273 hartree per atom
# space-group type = No. 12
# formation enthalpy at 0 K = -0.22 eV/atom
# total moment = 0.000 Bohr magnetons per cell
# crystal system = monoclinic

---

# PBE LiInS2, optimized geometry
data_LiInS2
_cell_length_a 7.680
_cell_length_b 7.680
_cell_length_c 7.067
_cell_angle_alpha 116.80
_cell_angle_beta 116.80
_cell_angle_gamma 30.46
_space_group_name_H-M_alt 'P 1'
_space_group_IT_number 1
_space_group_name_Hall 'P 1'
loop_
_atom_site_label
_atom_site_type_symbol
_atom_site_fract_x
_atom_site_fract_y
_atom_site_fract_z
Li1 Li 0.000 0.000 0.000
Li2 Li 0.745 0.745 0.097
In1 In 0.259 0.259 0.603
In2 In 0.506 0.506 0.550
S1 S 0.063 0.063 0.404
S2 S 0.316 0.316 0.325
S3 S 0.563 0.563 0.927
S4 S 0.812 0.812 0.835
# E_tot = -0.1519 hartree per atom
# ΔE_f (raw) = -0.906 eV/atom
# space-group type = No. 8
# total moment = 0.000 Bohr magnetons per cell
# crystal system = monoclinic

---

# PBE TbSmHoEr3, optimized geometry
data_TbSmHoEr3
_cell_length_a 9.747
_cell_length_b 9.747
_cell_length_c 7.212
_cell_angle_alpha 90.13
_cell_angle_beta 90.13
_cell_angle_gamma 33.92
_space_group_name_H-M_alt 'P 1'
_space_group_IT_number 1
_space_group_name_Hall 'P 1'
loop_
_atom_site_label
_atom_site_type_symbol
_atom_site_fract_x
_atom_site_fract_y
_atom_site_fract_z
Tb1 Tb 0.148 0.148 0.038
Tb2 Tb 0.852 0.852 0.962
Sm1 Sm 0.458 0.458 0.749
Sm2 Sm 0.542 0.542 0.251
Ho1 Ho 0.149 0.149 0.459
Ho2 Ho 0.851 0.851 0.541
Er1 Er 0.023 0.023 0.748
Er2 Er 0.283 0.283 0.750
Er3 Er 0.331 0.331 0.253
Er4 Er 0.669 0.669 0.747
Er5 Er 0.717 0.717 0.250
Er6 Er 0.977 0.977 0.252
# E_tot = -0.1617 hartree per atom
# space-group type = No. 12
# formation enthalpy at 0 K = 0.20 eV/atom
# total moment = 0.000 Bohr magnetons per cell
# crystal system = monoclinic

---

# PBE PmNiP2, optimized geometry
data_PmNiP2
_cell_length_a 5.360
_cell_length_b 5.360
_cell_length_c 5.360
_cell_angle_alpha 137.18
_cell_angle_beta 137.18
_cell_angle_gamma 62.16
_space_group_name_H-M_alt 'P 1'
_space_group_IT_number 1
_space_group_name_Hall 'P 1'
loop_
_atom_site_label
_atom_site_type_symbol
_atom_site_fract_x
_atom_site_fract_y
_atom_site_fract_z
Pm1 Pm 0.000 0.000 0.000
Ni1 Ni 0.250 0.750 0.500
P1 P 0.373 0.373 0.000
P2 P 0.627 0.627 0.000
# E_tot = -0.2334 hartree per atom
# space-group type = No. 119
# offset from the most stable computed form = 0 meV/atom
# formation enthalpy at 0 K = -1.01 eV/atom
# total moment = 0.000 Bohr magnetons per cell
# crystal system = tetragonal

---

# PBE K2Na2Au, optimized geometry
data_K2Na2Au
_cell_length_a 8.553
_cell_length_b 8.553
_cell_length_c 6.335
_cell_angle_alpha 90.00
_cell_angle_beta 90.00
_cell_angle_gamma 90.00
_space_group_name_H-M_alt 'P 1'
_space_group_IT_number 1
_space_group_name_Hall 'P 1'
loop_
_atom_site_label
_atom_site_type_symbol
_atom_site_fract_x
_atom_site_fract_y
_atom_site_fract_z
K1 K 0.164 0.336 0.000
K2 K 0.336 0.836 0.000
K3 K 0.664 0.164 0.000
K4 K 0.836 0.664 0.000
Na1 Na 0.158 0.658 0.500
Na2 Na 0.342 0.158 0.500
Na3 Na 0.658 0.842 0.500
Na4 Na 0.842 0.342 0.500
Au1 Au 0.000 0.000 0.000
Au2 Au 0.500 0.500 0.000
# E_tot = -0.0580 hartree per atom
# space-group type = No. 127
# offset from the most stable computed form = 142 meV/atom
# formation enthalpy at 0 K = 0.04 eV/atom
# total moment = 0.000 Bohr magnetons per cell
# crystal system = tetragonal

---

# PBE PrHoPa, optimized geometry
data_PrHoPa
_cell_length_a 8.139
_cell_length_b 8.139
_cell_length_c 8.139
_cell_angle_alpha 155.74
_cell_angle_beta 155.74
_cell_angle_gamma 34.58
_space_group_name_H-M_alt 'P 1'
_space_group_IT_number 1
_space_group_name_Hall 'P 1'
loop_
_atom_site_label
_atom_site_type_symbol
_atom_site_fract_x
_atom_site_fract_y
_atom_site_fract_z
Pr1 Pr 0.000 0.000 0.000
Ho1 Ho 0.691 0.691 0.000
Pa1 Pa 0.342 0.342 0.000
# E_tot = -0.2243 hartree per atom
# space-group type = No. 107
# offset from the most stable computed form = 18 meV/atom
# formation enthalpy at 0 K = 0.18 eV/atom
# total moment = 0.001 Bohr magnetons per cell
# crystal system = tetragonal

---

# PBE Li2TeCl, optimized geometry
data_Li2TeCl
_cell_length_a 3.597
_cell_length_b 3.601
_cell_length_c 7.326
_cell_angle_alpha 90.00
_cell_angle_beta 90.09
_cell_angle_gamma 90.00
_space_group_name_H-M_alt 'P 1'
_space_group_IT_number 1
_space_group_name_Hall 'P 1'
loop_
_atom_site_label
_atom_site_type_symbol
_atom_site_fract_x
_atom_site_fract_y
_atom_site_fract_z
Li1 Li 0.000 0.000 0.000
Li2 Li 0.497 0.500 0.586
Te1 Te 0.501 0.000 0.293
Cl1 Cl 0.998 0.500 0.793
# E_tot = -0.1245 hartree per atom
# ΔE_f (raw) = -1.183 eV/atom
# space-group type = No. 6
# offset from the most stable computed form = 28 meV/atom
# total moment = 0.000 Bohr magnetons per cell
# crystal system = monoclinic

---

# PBE Sm12Er5Th, optimized geometry
data_Sm12Er5Th
_cell_length_a 10.778
_cell_length_b 10.778
_cell_length_c 5.085
_cell_angle_alpha 90.00
_cell_angle_beta 90.00
_cell_angle_gamma 90.10
_space_group_name_H-M_alt 'P 1'
_space_group_IT_number 1
_space_group_name_Hall 'P 1'
loop_
_atom_site_label
_atom_site_type_symbol
_atom_site_fract_x
_atom_site_fract_y
_atom_site_fract_z
Sm1 Sm 0.002 0.331 0.500
Sm2 Sm 0.164 0.836 0.000
Sm3 Sm 0.169 0.499 0.000
Sm4 Sm 0.331 0.002 0.500
Sm5 Sm 0.336 0.664 0.500
Sm6 Sm 0.499 0.169 0.000
Sm7 Sm 0.501 0.831 0.000
Sm8 Sm 0.664 0.336 0.500
Sm9 Sm 0.669 0.998 0.500
Sm10 Sm 0.831 0.501 0.000
Sm11 Sm 0.836 0.164 0.000
Sm12 Sm 0.998 0.669 0.500
Er1 Er 0.000 0.000 0.500
Er2 Er 0.167 0.167 0.000
Er3 Er 0.336 0.336 0.500
Er4 Er 0.664 0.664 0.500
Er5 Er 0.833 0.833 0.000
Th1 Th 0.500 0.500 0.000
# E_tot = -0.1764 hartree per atom
# space-group type = No. 65
# formation enthalpy at 0 K = 0.03 eV/atom
# total moment = 0.000 Bohr magnetons per cell
# crystal system = orthorhombic

---

# PBE Tb3RhO6, optimized geometry
data_Tb3RhO6
_cell_length_a 6.581
_cell_length_b 6.581
_cell_length_c 6.581
_cell_angle_alpha 93.72
_cell_angle_beta 93.72
_cell_angle_gamma 93.72
_space_group_name_H-M_alt 'P 1'
_space_group_IT_number 1
_space_group_name_Hall 'P 1'
loop_
_atom_site_label
_atom_site_type_symbol
_atom_site_fract_x
_atom_site_fract_y
_atom_site_fract_z
Tb1 Tb 0.069 0.759 0.581
Tb2 Tb 0.241 0.419 0.931
Tb3 Tb 0.419 0.931 0.241
Tb4 Tb 0.581 0.069 0.759
Tb5 Tb 0.759 0.581 0.069
Tb6 Tb 0.931 0.241 0.419
Rh1 Rh 0.000 0.000 0.000
Rh2 Rh 0.500 0.500 0.500
O1 O 0.046 0.696 0.915
O2 O 0.085 0.954 0.304
O3 O 0.195 0.433 0.580
O4 O 0.304 0.085 0.954
O5 O 0.420 0.805 0.567
O6 O 0.433 0.580 0.195
O7 O 0.567 0.420 0.805
O8 O 0.580 0.195 0.433
O9 O 0.696 0.915 0.046
O10 O 0.805 0.567 0.420
O11 O 0.915 0.046 0.696
O12 O 0.954 0.304 0.085
# E_tot = -0.2916 hartree per atom
# ΔE_f (raw) = -2.835 eV/atom
# space-group type = No. 148
# total moment = 0.000 Bohr magnetons per cell
# crystal system = trigonal

---

# PBE Ba2AlZn6Ag, optimized geometry
data_Ba2AlZn6Ag
_cell_length_a 6.068
_cell_length_b 7.005
_cell_length_c 7.035
_cell_angle_alpha 70.75
_cell_angle_beta 64.72
_cell_angle_gamma 64.45
_space_group_name_H-M_alt 'P 1'
_space_group_IT_number 1
_space_group_name_Hall 'P 1'
loop_
_atom_site_label
_atom_site_type_symbol
_atom_site_fract_x
_atom_site_fract_y
_atom_site_fract_z
Ba1 Ba 0.244 0.343 0.167
Ba2 Ba 0.756 0.657 0.833
Al1 Al 0.500 0.500 0.500
Zn1 Zn 0.193 0.816 0.309
Zn2 Zn 0.251 0.867 0.634
Zn3 Zn 0.319 0.184 0.690
Zn4 Zn 0.681 0.816 0.310
Zn5 Zn 0.749 0.133 0.366
Zn6 Zn 0.807 0.184 0.691
Ag1 Ag 0.000 0.000 0.000
# E_tot = -0.0723 hartree per atom
# space-group type = No. 2
# formation enthalpy at 0 K = -0.16 eV/atom
# total moment = 0.000 Bohr magnetons per cell
# crystal system = triclinic